1.
A crystal of Ta5Fe3 relaxed with PBEsol. Source: Alexandria, functional SCAN.

* ΔE to the lowest computed polymorph: 0.0 meV per atom
* V: 117.8 Å³/f.u.
* SG: Cmmm

Unit cell a=4.3509 b=5.3525 c=5.3525 alpha=109.13 beta=90.00 gamma=90.00
Closest atoms and distances in Å follow each position.
Fractional coordinates of all 8 atoms:
1 Fe 0.5000 0.7470 0.2530  8 Ta 2.62-2.73
2 Ta 0.0000 0.5000 0.0000  6 Fe 2.67-2.68, 2 Ta 2.68
3 Ta 0.0000 0.0000 0.5000  6 Fe 2.67-2.68, 2 Ta 2.68
4 Fe 0.0000 0.5000 0.5000  8 Ta 2.64-2.68
5 Ta 0.5000 0.2594 0.2594  6 Fe 2.62-2.73, 2 Ta 2.71
6 Fe 0.5000 0.2530 0.7470  8 Ta 2.62-2.73
7 Ta 0.5000 0.7406 0.7406  6 Fe 2.62-2.73, 2 Ta 2.71
8 Ta 0.0000 0.0000 0.0000  8 Ta 2.68-2.71

---

2.
A crystal of TaFe2 relaxed with PBEsol. Source: Alexandria, functional SCAN.

* total DFT energy (no corrections): -1.245 hartree per atom
* V: 38.1 Å³/f.u.
* SG: P6/mmm

Unit cell a=2.8788 b=3.9089 c=3.9089 alpha=120.00 beta=90.00 gamma=90.00
Closest atoms and distances in Å follow each position.
Fractional coordinates of all 3 atoms:
1 Fe 0.5000 0.3333 0.6667  3 Fe 2.26
2 Fe 0.5000 0.6667 0.3333  3 Fe 2.26
3 Ta 0.0000 0.0000 0.0000  12 Fe 2.68, 2 Ta 2.88

---

3.
A crystal of TaFe relaxed with PBEsol. Source: Alexandria, functional SCAN.

* total DFT energy (no corrections): -1.519 hartree per atom
* V: 35.1 Å³/f.u.
* SG: P6_3/mmc

Unit cell a=4.0841 b=4.0841 c=4.8656 alpha=90.00 beta=90.00 gamma=120.00
Closest atoms and distances in Å follow each position.
Fractional coordinates of all 4 atoms:
1 Ta 0.6667 0.3333 0.7500  5 Fe 2.36-2.43
2 Fe 0.6667 0.3333 0.2500  5 Ta 2.36-2.43
3 Fe 0.3333 0.6667 0.7500  5 Ta 2.36-2.43
4 Ta 0.3333 0.6667 0.2500  5 Fe 2.36-2.43

---

4.
A crystal of Ta5Fe relaxed with PBEsol. Source: Alexandria, functional SCAN.

* ΔE to the lowest computed polymorph: 0.0 meV per atom
* V: 98.0 Å³/f.u.
* SG: C2/m

Unit cell a=3.2228 b=5.3072 c=6.3474 alpha=107.74 beta=90.00 gamma=107.68
Closest atoms and distances in Å follow each position.
Fractional coordinates of all 6 atoms:
1 Ta 0.1597 0.3195 0.3389  2 Fe 2.70, 6 Ta 2.76-2.84
2 Ta 0.8403 0.6805 0.6611  2 Fe 2.70, 6 Ta 2.76-2.84
3 Ta 0.8371 0.6742 0.1773  2 Fe 2.71, 6 Ta 2.79-2.87
4 Fe 0.5000 0.0000 0.5000  8 Ta 2.70-2.71
5 Ta 0.5000 0.0000 0.0000  8 Ta 2.76-2.79
6 Ta 0.1629 0.3258 0.8227  2 Fe 2.71, 6 Ta 2.79-2.87

---

5.
A crystal of Ta8Fe relaxed with PBEsol. Source: Alexandria, functional SCAN.

* total DFT energy (no corrections): -2.249 hartree per atom
* V: 151.0 Å³/f.u.
* SG: I4/mmm

Unit cell a=3.2362 b=7.0188 c=7.0188 alpha=86.95 beta=76.67 gamma=76.67
Closest atoms and distances in Å follow each position.
Fractional coordinates of all 9 atoms:
1 Ta 0.6603 0.0000 0.6794  2 Fe 2.72, 6 Ta 2.78-2.94
2 Ta 0.3315 0.6685 0.6685  8 Ta 2.78-2.81
3 Ta 0.3397 0.0000 0.3206  2 Fe 2.72, 6 Ta 2.78-2.94
4 Fe 0.0000 0.0000 0.0000  8 Ta 2.72
5 Ta 0.0000 0.3315 0.6685  8 Ta 2.78-2.81
6 Ta 0.0000 0.6685 0.3315  8 Ta 2.78-2.81
7 Ta 0.3397 0.3206 0.0000  2 Fe 2.72, 6 Ta 2.78-2.94
8 Ta 0.6685 0.3315 0.3315  8 Ta 2.78-2.81
9 Ta 0.6603 0.6794 0.0000  2 Fe 2.72, 6 Ta 2.78-2.94

---

6.
A crystal of Ta2FeTc relaxed with PBEsol. Source: Alexandria, functional SCAN.

* total DFT energy (no corrections): -1.715 hartree per atom
* V: 60.2 Å³/f.u.
* SG: Pm

Unit cell a=2.7554 b=4.4011 c=5.0456 alpha=90.00 beta=100.55 gamma=90.00
Closest atoms and distances in Å follow each position.
Fractional coordinates of all 4 atoms:
1 Fe 0.2518 0.5000 0.7669  4 Ta 2.59-2.65, 2 Fe 2.76, 2 Tc 2.76
2 Tc 0.4948 0.0000 0.4868  4 Ta 2.61-2.66, 2 Tc 2.76, 2 Fe 2.76
3 Ta 0.7418 0.5000 0.2669  2 Tc 2.61, 2 Fe 2.63-2.65, 4 Ta 2.76-2.81
4 Ta 0.0116 0.0000 0.9795  2 Fe 2.59, 2 Tc 2.63-2.66, 4 Ta 2.76-2.81

---

7.
A crystal of TaFeTc2 relaxed with PBEsol. Source: Alexandria, functional SCAN.

* total DFT energy (no corrections): -1.416 hartree per atom
* V: 57.0 Å³/f.u.
* SG: R3m

Unit cell a=2.7318 b=2.7318 c=8.9648 alpha=81.24 beta=81.24 gamma=60.00
Closest atoms and distances in Å follow each position.
Fractional coordinates of all 4 atoms:
1 Fe 0.4959 0.4959 0.5124  3 Tc 2.58, 3 Ta 2.73, 6 Fe 2.73
2 Tc 0.7519 0.7519 0.7444  3 Fe 2.58, 9 Tc 2.63-2.73
3 Ta 0.2467 0.2467 0.2599  3 Fe 2.73, 6 Ta 2.73, 3 Tc 2.91
4 Tc 0.0055 0.0055 0.9834  9 Tc 2.63-2.73, 3 Ta 2.91

---

8.
A crystal of Ta2FeTc relaxed with PBEsol. Source: Alexandria, functional SCAN.

* total DFT energy (no corrections): -1.725 hartree per atom
* V: 59.1 Å³/f.u.
* SG: P4/mmm

Unit cell a=3.1109 b=3.1109 c=6.1102 alpha=90.00 beta=90.00 gamma=90.00
Closest atoms and distances in Å follow each position.
Fractional coordinates of all 4 atoms:
1 Ta 0.0000 0.0000 0.7434  4 Fe 2.66, 4 Tc 2.70
2 Ta 0.0000 0.0000 0.2566  4 Fe 2.66, 4 Tc 2.70
3 Fe 0.5000 0.5000 0.5000  8 Ta 2.66
4 Tc 0.5000 0.5000 0.0000  8 Ta 2.70

---

9.
A crystal of TaFeTc relaxed with PBEsol. Source: Alexandria, functional SCAN.

* total DFT energy (no corrections): -1.436 hartree per atom
* V: 49.1 Å³/f.u.
* SG: F-43m

Unit cell a=4.1110 b=4.1110 c=4.1110 alpha=60.00 beta=60.00 gamma=60.00
Closest atoms and distances in Å follow each position.
Fractional coordinates of all 3 atoms:
1 Ta 0.5000 0.5000 0.5000  4 Tc 2.52
2 Fe 0.0000 0.0000 0.0000  4 Tc 2.52
3 Tc 0.2500 0.2500 0.2500  4 Ta 2.52, 4 Fe 2.52

---

10.
A crystal of TaFeTc2 relaxed with PBEsol. Source: Alexandria, functional SCAN.

* total DFT energy (no corrections): -1.429 hartree per atom
* V: 56.9 Å³/f.u.
* SG: P4/mmm

Unit cell a=3.0960 b=3.0960 c=5.9385 alpha=90.00 beta=90.00 gamma=90.00
Closest atoms and distances in Å follow each position.
Fractional coordinates of all 4 atoms:
1 Tc 0.0000 0.0000 0.2346  4 Fe 2.60, 4 Ta 2.70, 1 Tc 2.79
2 Ta 0.5000 0.5000 0.5000  8 Tc 2.70, 2 Fe 2.97
3 Tc 0.0000 0.0000 0.7654  4 Fe 2.60, 4 Ta 2.70, 1 Tc 2.79
4 Fe 0.5000 0.5000 0.0000  8 Tc 2.60

---

11.
A crystal of Ta2FeTc relaxed with PBEsol. Source: Alexandria, functional SCAN.

* total DFT energy (no corrections): -1.716 hartree per atom
* V: 59.9 Å³/f.u.
* SG: Immm

Unit cell a=3.1966 b=4.5041 c=4.9959 alpha=116.79 beta=108.66 gamma=90.00
Closest atoms and distances in Å follow each position.
Fractional coordinates of all 4 atoms:
1 Fe 0.5000 0.0000 0.0000  4 Ta 2.61, 4 Tc 2.76
2 Tc 0.0000 0.5000 0.0000  4 Ta 2.64, 4 Fe 2.76
3 Ta 0.2475 0.2475 0.4950  2 Fe 2.61, 2 Tc 2.64, 4 Ta 2.76
4 Ta 0.7525 0.7525 0.5050  2 Fe 2.61, 2 Tc 2.64, 4 Ta 2.76

---

12.
A crystal of TaFeTc2 relaxed with PBEsol. Source: Alexandria, functional SCAN.

* total DFT energy (no corrections): -1.425 hartree per atom
* V: 56.8 Å³/f.u.
* SG: C2/m

Unit cell a=2.6757 b=4.9802 c=5.0585 alpha=116.70 beta=100.63 gamma=99.36
Closest atoms and distances in Å follow each position.
Fractional coordinates of all 4 atoms:
1 Fe 0.0000 0.5000 0.0000  2 Ta 2.63, 4 Tc 2.63, 2 Fe 2.68
2 Tc 0.5000 0.5000 0.5000  4 Tc 2.63-2.68, 2 Fe 2.63, 2 Ta 2.63
3 Ta 0.5000 0.0000 0.0000  2 Fe 2.63, 4 Tc 2.63, 2 Ta 2.68
4 Tc 0.0000 0.0000 0.5000  4 Tc 2.63-2.68, 2 Ta 2.63, 2 Fe 2.63

---

Q: What is the V in the second record?
A: 38.1 Å³/f.u.